The following is a PBE calculation of an optimized crystal structure of CsHg, from Alexandria via LeMat-Bulk.

Geometry as POSCAR:
```
CsHg
1.0
0.000 4.315 4.315
4.315 0.000 4.315
4.315 4.315 0.000
Cs Hg
1 1
Direct
0.000 0.000 0.000
0.750 0.750 0.750
```

Output
- ΔH_f (0 K): 0.03 eV per formula unit
- Symmetry: F-43m (216)
- Crystal system: cubic
- VASP energy: -1.13 eV per formula unit